This record from Alexandria describes a relaxed Nb5Mo4Ru crystal. The functional is PBE.

## Properties
Its crystal system is tetragonal. The calculation puts the size of the total moment at 0.0 μB/cell. Its volume is 167.52 Å³ per cell. The value obtained for the final energy is -10.47 eV/atom. The space-group type is P4/mmm (123). The value obtained for the formation energy is -0.177 eV per atom.

Cell: 3.2230 3.2230 16.1266 Å, 90.00 90.00 90.00°
Atoms (fractional coordinates):
1 Nb 0.5000 0.5000 0.1002
2 Nb 0.5000 0.5000 0.2986
3 Nb 0.5000 0.5000 0.5000
4 Nb 0.5000 0.5000 0.7014
5 Nb 0.5000 0.5000 0.8998
6 Mo 0.0000 0.0000 0.1982
7 Mo 0.0000 0.0000 0.4000
8 Mo 0.0000 0.0000 0.6000
9 Mo 0.0000 0.0000 0.8018
10 Ru 0.0000 0.0000 0.0000